# 1
VASP calculation (PBE) on an optimized crystal structure of CdGaAg2.

The structure belongs to space group P4/mmm (No. 123); the cell edges are 5.110, 5.110 and 2.926 Å and the angles 90.00°, 90.00° and 90.00°. The distinct sites, in fractional coordinates, are Cd at (0.000, 0.000, 0.000), Ga at (0.500, 0.500, 0.000) and Ag at (0.000, 0.500, 0.500).



# 2
VASP calculation (PBE) on an optimized crystal structure of CdGaAg2.

The structure belongs to space group P2_1/c (No. 14); the cell edges are 5.783, 9.024 and 5.891 Å and the angles 90.00°, 105.62° and 90.00°. The distinct sites, in fractional coordinates, are Cd at (0.232, 0.017, 0.301), Ga at (0.495, 0.247, 0.120), Ag at (0.050, 0.746, 0.013) and Ag at (0.276, 0.024, 0.811).



no.,calculated formation energy (meV per atom),E_tot (eV per atom),total magnetic moment (μB per formula unit)
1,26,-2.385,0.0
2,-20,-2.431,0.0